(1)
VASP calculation (PBE) on crystalline FeTeMo2As at its relaxed geometry.

Calculated volume (Å³ per cell): 126
SG: No. 123
Formation energy without anion corrections (eV/atom): 2.157
DFT total energy (eV/atom): -5.426
Magnetization (μB per cell): 3.715

Cell and atoms, written as CIF:
```
data_FeTeMo2As
_cell_length_a 4.935
_cell_length_b 5.172
_cell_length_c 4.935
_cell_angle_alpha 90.00
_cell_angle_beta 90.00
_cell_angle_gamma 90.00
_space_group_name_H-M_alt 'P 1'
_space_group_IT_number 1
loop_
_space_group_symop_operation_xyz
'x,y,z'
loop_
_atom_site_label
_atom_site_type_symbol
_atom_site_fract_x
_atom_site_fract_y
_atom_site_fract_z
_atom_site_occupancy
As1 As 0.000 0.500 0.000 1
Mo1 Mo 0.000 0.000 0.500 1
Te1 Te 0.000 0.000 0.000 1
Mo2 Mo 0.500 0.000 0.000 1
Fe1 Fe 0.500 0.500 0.500 1
```

***

(2)
VASP calculation (PBE) on crystalline FeAs3N at its relaxed geometry.

Calculated volume (Å³ per cell): 88
SG: No. 221
Formation energy without anion corrections (eV/atom): 1.287
Offset from the most stable computed form (eV/atom): 0.406
DFT total energy (eV/atom): -4.860
Magnetization (μB per cell): 0.050

Cell and atoms, written as CIF:
```
data_FeAs3N
_cell_length_a 4.449
_cell_length_b 4.449
_cell_length_c 4.449
_cell_angle_alpha 90.00
_cell_angle_beta 90.00
_cell_angle_gamma 90.00
_space_group_name_H-M_alt 'P 1'
_space_group_IT_number 1
loop_
_space_group_symop_operation_xyz
'x,y,z'
loop_
_atom_site_label
_atom_site_type_symbol
_atom_site_fract_x
_atom_site_fract_y
_atom_site_fract_z
_atom_site_occupancy
As1 As 0.500 0.000 0.000 1
N1 N 0.500 0.500 0.500 1
Fe1 Fe 0.000 0.000 0.000 1
As2 As 0.000 0.500 0.000 1
As3 As 0.000 0.000 0.500 1
```

***

(3)
VASP calculation (PBE) on crystalline Fe2AsN at its relaxed geometry.

Calculated volume (Å³ per cell): 42
SG: No. 225
Formation energy without anion corrections (eV/atom): 0.761
Offset from the most stable computed form (eV/atom): 0.742
DFT total energy (eV/atom): -6.714
Magnetization (μB per cell): 0.000

Cell and atoms, written as CIF:
```
data_Fe2AsN
_cell_length_a 3.899
_cell_length_b 3.899
_cell_length_c 3.899
_cell_angle_alpha 60.00
_cell_angle_beta 60.00
_cell_angle_gamma 60.00
_space_group_name_H-M_alt 'P 1'
_space_group_IT_number 1
loop_
_space_group_symop_operation_xyz
'x,y,z'
loop_
_atom_site_label
_atom_site_type_symbol
_atom_site_fract_x
_atom_site_fract_y
_atom_site_fract_z
_atom_site_occupancy
N1 N 0.000 0.000 0.000 1
Fe1 Fe 0.750 0.750 0.750 1
Fe2 Fe 0.250 0.250 0.250 1
As1 As 0.500 0.500 0.500 1
```

***

(4)
VASP calculation (PBE) on crystalline Fe2AsN at its relaxed geometry.

Calculated volume (Å³ per cell): 103
SG: No. 122
Formation energy without anion corrections (eV/atom): 0.019
Offset from the most stable computed form (eV/atom): 0.000
DFT total energy (eV/atom): -7.456
Magnetization (μB per cell): 0.000

Cell and atoms, written as CIF:
```
data_Fe2AsN
_cell_length_a 4.783
_cell_length_b 4.783
_cell_length_c 5.638
_cell_angle_alpha 64.90
_cell_angle_beta 64.90
_cell_angle_gamma 90.00
_space_group_name_H-M_alt 'P 1'
_space_group_IT_number 1
loop_
_space_group_symop_operation_xyz
'x,y,z'
loop_
_atom_site_label
_atom_site_type_symbol
_atom_site_fract_x
_atom_site_fract_y
_atom_site_fract_z
_atom_site_occupancy
As1 As 0.750 0.250 0.500 1
Fe1 Fe 0.217 0.625 0.250 1
N1 N 0.250 0.750 0.500 1
Fe2 Fe 0.875 0.783 0.750 1
N2 N 0.500 0.500 0.000 1
Fe3 Fe 0.375 0.467 0.750 1
As2 As 0.000 0.000 0.000 1
Fe4 Fe 0.533 0.125 0.250 1
```

***

(5)
VASP calculation (PBE) on crystalline FeAsN2 at its relaxed geometry.

Calculated volume (Å³ per cell): 43
SG: No. 166
Formation energy without anion corrections (eV/atom): 0.429
DFT total energy (eV/atom): -7.012
Magnetization (μB per cell): 2.051

Cell and atoms, written as CIF:
```
data_FeAsN2
_cell_length_a 6.263
_cell_length_b 6.263
_cell_length_c 6.263
_cell_angle_alpha 26.50
_cell_angle_beta 26.50
_cell_angle_gamma 26.50
_space_group_name_H-M_alt 'P 1'
_space_group_IT_number 1
loop_
_space_group_symop_operation_xyz
'x,y,z'
loop_
_atom_site_label
_atom_site_type_symbol
_atom_site_fract_x
_atom_site_fract_y
_atom_site_fract_z
_atom_site_occupancy
N1 N 0.110 0.110 0.110 1
Fe1 Fe 0.500 0.500 0.500 1
As1 As 0.000 0.000 0.000 1
N2 N 0.890 0.890 0.890 1
```

***

(6)
VASP calculation (PBE) on crystalline FeAs3N at its relaxed geometry.

Calculated volume (Å³ per cell): 79
SG: No. 221
Formation energy without anion corrections (eV/atom): 0.881
Offset from the most stable computed form (eV/atom): 0.000
DFT total energy (eV/atom): -5.267
Magnetization (μB per cell): 2.317

Cell and atoms, written as CIF:
```
data_FeAs3N
_cell_length_a 4.286
_cell_length_b 4.286
_cell_length_c 4.286
_cell_angle_alpha 90.00
_cell_angle_beta 90.00
_cell_angle_gamma 90.00
_space_group_name_H-M_alt 'P 1'
_space_group_IT_number 1
loop_
_space_group_symop_operation_xyz
'x,y,z'
loop_
_atom_site_label
_atom_site_type_symbol
_atom_site_fract_x
_atom_site_fract_y
_atom_site_fract_z
_atom_site_occupancy
Fe1 Fe 0.500 0.500 0.500 1
As1 As 0.500 0.000 0.000 1
As2 As 0.000 0.500 0.000 1
As3 As 0.000 0.000 0.500 1
N1 N 0.000 0.000 0.000 1
```

***

(7)
VASP calculation (PBE) on crystalline FeAsN2 at its relaxed geometry.

Calculated volume (Å³ per cell): 95
SG: No. 122
Formation energy without anion corrections (eV/atom): 0.555
DFT total energy (eV/atom): -6.886
Magnetization (μB per cell): 0.331

Cell and atoms, written as CIF:
```
data_FeAsN2
_cell_length_a 4.634
_cell_length_b 4.634
_cell_length_c 5.511
_cell_angle_alpha 65.14
_cell_angle_beta 65.14
_cell_angle_gamma 90.00
_space_group_name_H-M_alt 'P 1'
_space_group_IT_number 1
loop_
_space_group_symop_operation_xyz
'x,y,z'
loop_
_atom_site_label
_atom_site_type_symbol
_atom_site_fract_x
_atom_site_fract_y
_atom_site_fract_z
_atom_site_occupancy
As1 As 0.000 0.000 0.000 1
As2 As 0.750 0.250 0.500 1
N1 N 0.575 0.125 0.250 1
N2 N 0.375 0.425 0.750 1
Fe1 Fe 0.250 0.750 0.500 1
Fe2 Fe 0.500 0.500 0.000 1
N3 N 0.875 0.825 0.750 1
N4 N 0.175 0.625 0.250 1
```

***

(8)
VASP calculation (PBE) on crystalline Na2Fe2As2N at its relaxed geometry.

Calculated volume (Å³ per cell): 117
SG: No. 12
Formation energy without anion corrections (eV/atom): -0.310
DFT total energy (eV/atom): -5.622
Magnetization (μB per cell): 0.000

Cell and atoms, written as CIF:
```
data_Na2Fe2As2N
_cell_length_a 3.827
_cell_length_b 5.634
_cell_length_c 6.244
_cell_angle_alpha 72.05
_cell_angle_beta 72.15
_cell_angle_gamma 70.14
_space_group_name_H-M_alt 'P 1'
_space_group_IT_number 1
loop_
_space_group_symop_operation_xyz
'x,y,z'
loop_
_atom_site_label
_atom_site_type_symbol
_atom_site_fract_x
_atom_site_fract_y
_atom_site_fract_z
_atom_site_occupancy
Na1 Na 0.558 0.185 0.699 1
As1 As 0.184 0.367 0.266 1
N1 N 0.000 0.000 0.000 1
Fe1 Fe 0.180 0.701 0.939 1
Na2 Na 0.442 0.815 0.301 1
As2 As 0.816 0.633 0.734 1
Fe2 Fe 0.820 0.299 0.061 1
```